Computed, not measured: a relaxed structure of Ac2ScGe3Ir4 at the PBE level of DFT.

CIF file:
```
data_Ac2ScGe3Ir4
_symmetry_space_group_name_H-M 'P -4 m 2'
_symmetry_Int_Tables_number 115
_symmetry_space_group_name_Hall 'P -4 -2'
_cell_length_a 4.274
_cell_length_b 4.274
_cell_length_c 11.122
_cell_angle_alpha 90.00
_cell_angle_beta 90.00
_cell_angle_gamma 90.00
loop_
_atom_site_label
_atom_site_type_symbol
_atom_site_fract_x
_atom_site_fract_y
_atom_site_fract_z
Ac1 Ac 0.000 0.500 0.242
Sc1 Sc 0.000 0.000 0.500
Ge1 Ge 0.000 0.500 0.878
Ge2 Ge 0.500 0.500 0.500
Ir1 Ir 0.000 0.000 0.000
Ir2 Ir 0.000 0.500 0.646
Ir3 Ir 0.500 0.500 0.000
```

D(E_F)   6.0 states/eV per cell
Energy of formation   -0.80 eV per atom